Record 1
A plane-wave DFT calculation with SCAN was carried out for a crystal of Na7Co2O6 relaxed with PBEsol.

## Properties
Its electronic total energy is -246.739 eV for the cell shown. Its density of states at the Fermi level is 0.443 states/eV/atom. Its crystal system is monoclinic.

Cell: 5.7086 7.8854 10.4393 Å, 104.21 90.00 111.22°
Last column: nearest neighbours and their distance in Å.
Sites, in units of the cell vectors:
Na1 0.5794 0.3374 0.9058  4 O 2.28-2.33
Na2 0.8115 0.5512 0.1924  5 O 2.39-2.63
Na3 0.3001 0.8811 0.3526  4 O 2.26-2.41
Na4 0.4206 0.6626 0.0942  4 O 2.28-2.33
Na5 0.5810 0.8811 0.8526  4 O 2.26-2.41
Na6 0.9225 0.0000 0.2500  4 O 2.34-2.39
Na7 0.1885 0.4488 0.8076  5 O 2.39-2.63
Na8 0.2603 0.4488 0.3076  5 O 2.39-2.63
Na9 0.0775 0.0000 0.7500  4 O 2.34-2.39
Na10 0.2420 0.6626 0.5942  4 O 2.28-2.33
Na11 0.7397 0.5512 0.6924  5 O 2.39-2.63
Na12 0.4190 0.1189 0.1474  4 O 2.26-2.41
Na13 0.6999 0.1189 0.6474  4 O 2.26-2.41
Na14 0.7580 0.3374 0.4058  4 O 2.28-2.33
Co1 0.7597 0.7499 0.4618  3 O 1.77-1.82
Co2 0.9902 0.7499 0.9618  3 O 1.77-1.82
Co3 0.0098 0.2501 0.0382  3 O 1.77-1.82
Co4 0.2403 0.2501 0.5382  3 O 1.77-1.82
O1 0.8486 0.2427 0.1878  1 Co 1.82
O2 0.8650 0.1889 0.8744  1 Co 1.77
O3 0.1514 0.7573 0.8122  1 Co 1.82
O4 0.0041 0.3511 0.5833  1 Co 1.81
O5 0.3941 0.2427 0.6878  1 Co 1.82
O6 0.6761 0.8111 0.6256  1 Co 1.77
O7 0.3239 0.1889 0.3744  1 Co 1.77
O8 0.1350 0.8111 0.1256  1 Co 1.77
O9 0.6059 0.7573 0.3122  1 Co 1.82
O10 0.9959 0.6489 0.4167  1 Co 1.81
O11 0.3470 0.3511 0.0833  1 Co 1.81
O12 0.6530 0.6489 0.9167  1 Co 1.81

=====

Record 2
A plane-wave DFT calculation with SCAN was carried out for a crystal of Na3CoO2 relaxed with PBEsol.

## Properties
Its electronic total energy is -200.227 eV for the cell shown. Its crystal system is tetragonal.

Cell: 4.6517 9.2601 9.2601 Å, 90.00 90.00 90.00°
Last column: nearest neighbours and their distance in Å.
Sites, in units of the cell vectors:
Na1 0.5000 0.1358 0.1358  2 O 2.30
Na2 0.5000 0.8642 0.8642  2 O 2.30
Na3 0.0000 0.3642 0.6358  2 O 2.30
Na4 0.0000 0.6358 0.3642  2 O 2.30
Na5 0.0000 0.0305 0.6620  4 O 2.33-2.43
Na6 0.0000 0.9695 0.3380  4 O 2.33-2.43
Na7 0.5000 0.8380 0.5305  4 O 2.33-2.43
Na8 0.5000 0.1620 0.4695  4 O 2.33-2.43
Na9 0.0000 0.6620 0.0305  4 O 2.33-2.43
Na10 0.5000 0.4695 0.1620  4 O 2.33-2.43
Na11 0.0000 0.3380 0.9695  4 O 2.33-2.43
Na12 0.5000 0.5305 0.8380  4 O 2.33-2.43
Co1 0.0000 0.3189 0.3189  2 O 1.73
Co2 0.5000 0.8189 0.1811  2 O 1.73
Co3 0.5000 0.1811 0.8189  2 O 1.73
Co4 0.0000 0.6811 0.6811  2 O 1.73
O1 0.5000 0.0442 0.6923  1 Co 1.73
O2 0.0000 0.8077 0.5442  1 Co 1.73
O3 0.5000 0.6923 0.0442  1 Co 1.73
O4 0.0000 0.4558 0.1923  1 Co 1.73
O5 0.5000 0.3077 0.9558  1 Co 1.73
O6 0.0000 0.5442 0.8077  1 Co 1.73
O7 0.5000 0.9558 0.3077  1 Co 1.73
O8 0.0000 0.1923 0.4558  1 Co 1.73

=====

Record 3
A plane-wave DFT calculation with SCAN was carried out for a crystal of Na6CoO4 relaxed with PBEsol.

## Properties
Its electronic total energy is -165.280 eV for the cell shown. Its density of states at the Fermi level is 0.521 states/eV/atom. Its crystal system is hexagonal.

Cell: 5.8207 7.5891 7.5891 Å, 120.00 90.00 90.00°
Last column: nearest neighbours and their distance in Å.
Sites, in units of the cell vectors:
Na1 0.5355 0.7196 0.8598  4 O 2.36-2.56
Na2 0.5355 0.1402 0.8598  4 O 2.36-2.56
Na3 0.0355 0.8598 0.7196  4 O 2.36-2.56
Na4 0.5355 0.1402 0.2804  4 O 2.36-2.56
Na5 0.0355 0.8598 0.1402  4 O 2.36-2.56
Na6 0.0355 0.2804 0.1402  4 O 2.36-2.56
Na7 0.8671 0.4629 0.9258  3 O 2.34-2.42
Na8 0.8671 0.4629 0.5371  3 O 2.34-2.42
Na9 0.8671 0.0742 0.5371  3 O 2.34-2.42
Na10 0.3671 0.9258 0.4629  3 O 2.34-2.42
Na11 0.3671 0.5371 0.4629  3 O 2.34-2.42
Na12 0.3671 0.5371 0.0742  3 O 2.34-2.42
Co1 0.2603 0.3333 0.6667  4 O 1.93-1.96
Co2 0.7603 0.6667 0.3333  4 O 1.93-1.96
O1 0.5918 0.3333 0.6667  1 Co 1.93
O2 0.0918 0.6667 0.3333  1 Co 1.93
O3 0.1480 0.6141 0.8071  1 Co 1.96
O4 0.1480 0.1929 0.8071  1 Co 1.96
O5 0.1480 0.1929 0.3859  1 Co 1.96
O6 0.6480 0.8071 0.6141  1 Co 1.96
O7 0.6480 0.8071 0.1929  1 Co 1.96
O8 0.6480 0.3859 0.1929  1 Co 1.96

=====

Record 4
A plane-wave DFT calculation with SCAN was carried out for a crystal of Na2Co3O6 relaxed with PBEsol.

## Properties
Its electronic total energy is -924.699 eV for the cell shown. Its density of states at the Fermi level is 0.261 states/eV/atom. Its crystal system is trigonal.

Cell: 9.7576 9.7576 12.1941 Å, 66.42 66.42 60.00°
Last column: nearest neighbours and their distance in Å.
Sites, in units of the cell vectors:
Na1 0.9157 0.9157 0.2530  6 O 2.38-2.40
Na2 0.4157 0.4157 0.7530  6 O 2.38-2.40
Na3 0.0843 0.0843 0.7470  6 O 2.38-2.40
Na4 0.5843 0.5843 0.2470  6 O 2.38-2.40
Na5 0.7500 0.3827 0.7500  6 O 2.29-2.55
Na6 0.3827 0.1173 0.7500  6 O 2.29-2.55
Na7 0.1173 0.7500 0.7500  6 O 2.29-2.55
Na8 0.6173 0.8827 0.2500  6 O 2.29-2.55
Na9 0.8827 0.2500 0.2500  6 O 2.29-2.55
Na10 0.2500 0.6173 0.2500  6 O 2.29-2.55
Na11 0.7500 0.9420 0.7500  6 O 2.26-2.44
Na12 0.9420 0.5580 0.7500  6 O 2.26-2.44
Na13 0.5580 0.7500 0.7500  6 O 2.26-2.44
Na14 0.0580 0.4420 0.2500  6 O 2.26-2.44
Na15 0.4420 0.2500 0.2500  6 O 2.26-2.44
Na16 0.2500 0.0580 0.2500  6 O 2.26-2.44
Co1 0.0000 0.0000 0.0000  6 O 1.88
Co2 0.5000 0.5000 0.5000  6 O 1.88
Co3 0.6693 0.6693 0.9920  6 O 1.88-1.91
Co4 0.1693 0.1693 0.4920  6 O 1.88-1.91
Co5 0.3307 0.3307 0.0080  6 O 1.88-1.91
Co6 0.8307 0.8307 0.5080  6 O 1.88-1.91
Co7 0.0000 0.5000 0.0000  6 O 1.87-1.91
Co8 0.5000 0.5000 0.0000  6 O 1.87-1.91
Co9 0.5000 0.0000 0.0000  6 O 1.87-1.91
Co10 0.0000 0.0000 0.5000  6 O 1.87-1.91
Co11 0.0000 0.5000 0.5000  6 O 1.87-1.91
Co12 0.5000 0.0000 0.5000  6 O 1.87-1.91
Co13 0.1647 0.1667 0.0018  6 O 1.86-1.91
Co14 0.1667 0.6667 0.0018  6 O 1.86-1.91
Co15 0.6667 0.1647 0.0018  6 O 1.86-1.91
Co16 0.1667 0.6667 0.5018  6 O 1.86-1.91
Co17 0.6667 0.6647 0.5018  6 O 1.86-1.91
Co18 0.6647 0.1667 0.5018  6 O 1.86-1.91
Co19 0.8353 0.8333 0.9982  6 O 1.86-1.91
Co20 0.8333 0.3333 0.9982  6 O 1.86-1.91
Co21 0.3333 0.8353 0.9982  6 O 1.86-1.91
Co22 0.8333 0.3333 0.4982  6 O 1.86-1.91
Co23 0.3333 0.3353 0.4982  6 O 1.86-1.91
Co24 0.3353 0.8333 0.4982  6 O 1.86-1.91
O1 0.9684 0.1370 0.0890  3 Co 1.88-1.89
O2 0.1370 0.8056 0.0890  3 Co 1.88-1.89
O3 0.8056 0.9684 0.0890  3 Co 1.88-1.89
O4 0.3056 0.6370 0.5890  3 Co 1.88-1.89
O5 0.6370 0.4684 0.5890  3 Co 1.88-1.89
O6 0.4684 0.3056 0.5890  3 Co 1.88-1.89
O7 0.0316 0.8630 0.9110  3 Co 1.88-1.89
O8 0.8630 0.1944 0.9110  3 Co 1.88-1.89
O9 0.1944 0.0316 0.9110  3 Co 1.88-1.89
O10 0.6944 0.3630 0.4110  3 Co 1.88-1.89
O11 0.3630 0.5316 0.4110  3 Co 1.88-1.89
O12 0.5316 0.6944 0.4110  3 Co 1.88-1.89
O13 0.9701 0.6394 0.0854  3 Co 1.86-1.88
O14 0.6394 0.3051 0.0854  3 Co 1.86-1.88
O15 0.3051 0.9701 0.0854  3 Co 1.86-1.88
O16 0.8051 0.1394 0.5854  3 Co 1.86-1.88
O17 0.1394 0.4701 0.5854  3 Co 1.86-1.88
O18 0.4701 0.8051 0.5854  3 Co 1.86-1.88
O19 0.0299 0.3606 0.9146  3 Co 1.86-1.88
O20 0.3606 0.6949 0.9146  3 Co 1.86-1.88
O21 0.6949 0.0299 0.9146  3 Co 1.86-1.88
O22 0.1949 0.8606 0.4146  3 Co 1.86-1.88
O23 0.8606 0.5299 0.4146  3 Co 1.86-1.88
O24 0.5299 0.1949 0.4146  3 Co 1.86-1.88
O25 0.1312 0.3024 0.0961  3 Co 1.91
O26 0.3024 0.4703 0.0961  3 Co 1.91
O27 0.4703 0.1312 0.0961  3 Co 1.91
O28 0.9703 0.8024 0.5961  3 Co 1.91
O29 0.8024 0.6312 0.5961  3 Co 1.91
O30 0.6312 0.9703 0.5961  3 Co 1.91
O31 0.8688 0.6976 0.9039  3 Co 1.91
O32 0.6976 0.5297 0.9039  3 Co 1.91
O33 0.5297 0.8688 0.9039  3 Co 1.91
O34 0.0297 0.1976 0.4039  3 Co 1.91
O35 0.1976 0.3688 0.4039  3 Co 1.91
O36 0.3688 0.0297 0.4039  3 Co 1.91
O37 0.4747 0.6397 0.0839  3 Co 1.88-1.89
O38 0.6397 0.8017 0.0839  3 Co 1.88-1.89
O39 0.8017 0.4747 0.0839  3 Co 1.88-1.89
O40 0.3017 0.1397 0.5839  3 Co 1.88-1.89
O41 0.1397 0.9747 0.5839  3 Co 1.88-1.89
O42 0.9747 0.3017 0.5839  3 Co 1.88-1.89
O43 0.5253 0.3603 0.9161  3 Co 1.88-1.89
O44 0.3603 0.1983 0.9161  3 Co 1.88-1.89
O45 0.1983 0.5253 0.9161  3 Co 1.88-1.89
O46 0.6983 0.8603 0.4161  3 Co 1.88-1.89
O47 0.8603 0.0253 0.4161  3 Co 1.88-1.89
O48 0.0253 0.6983 0.4161  3 Co 1.88-1.89

=====

Record 5
A plane-wave DFT calculation with SCAN was carried out for a crystal of Na14Co2O9 relaxed with PBEsol.

## Properties
Its electronic total energy is -184.161 eV for the cell shown. Its density of states at the Fermi level is 0.291 states/eV/atom. Its crystal system is trigonal.

Cell: 6.5758 6.5758 9.2497 Å, 90.00 90.00 120.00°
Last column: nearest neighbours and their distance in Å.
Sites, in units of the cell vectors:
Na1 0.0000 0.0000 0.2506  4 O 2.32-2.37
Na2 0.0000 0.0000 0.7494  4 O 2.32-2.37
Na3 0.6743 0.6393 0.9076  4 O 2.32-2.42
Na4 0.3607 0.0349 0.9076  4 O 2.32-2.42
Na5 0.9651 0.3257 0.9076  4 O 2.32-2.42
Na6 0.0349 0.6743 0.0924  4 O 2.32-2.42
Na7 0.6393 0.9651 0.0924  4 O 2.32-2.42
Na8 0.3257 0.3607 0.0924  4 O 2.32-2.42
Na9 0.9324 0.6211 0.5936  4 O 2.32-2.38
Na10 0.3789 0.3113 0.5936  4 O 2.33-2.38
Na11 0.3113 0.9324 0.4064  4 O 2.33-2.38
Na12 0.6887 0.0676 0.5936  4 O 2.33-2.38
Na13 0.6211 0.6887 0.4064  4 O 2.33-2.38
Na14 0.0676 0.3789 0.4064  4 O 2.32-2.38
Co1 0.6667 0.3333 0.2636  4 O 1.99-2.00
Co2 0.3333 0.6667 0.7364  4 O 1.99-2.00
O1 0.0000 0.0000 0.0000  8 Na 2.32-2.42
O2 0.6667 0.3333 0.0488  1 Co 1.99
O3 0.3333 0.6667 0.9512  1 Co 1.99
O4 0.9366 0.6334 0.3362  1 Co 2.00
O5 0.3666 0.3032 0.3362  1 Co 2.00
O6 0.3032 0.9366 0.6638  1 Co 2.00
O7 0.6968 0.0634 0.3362  1 Co 2.00
O8 0.6334 0.6968 0.6638  1 Co 2.00
O9 0.0634 0.3666 0.6638  1 Co 2.00

=====

Record 6
A plane-wave DFT calculation with SCAN was carried out for a crystal of Na3CoO3 relaxed with PBEsol.

## Properties
Its electronic total energy is -234.915 eV for the cell shown. Its crystal system is cubic.

Cell: 7.4237 7.4237 7.4237 Å, 90.00 90.00 90.00°
Last column: nearest neighbours and their distance in Å.
Sites, in units of the cell vectors:
Na1 0.0359 0.0359 0.0359  3 O 2.36
Na2 0.2079 0.2921 0.7079  3 O 2.33
Na3 0.2329 0.7329 0.7671  3 O 2.24
Na4 0.2671 0.2671 0.2671  3 O 2.24
Na5 0.2921 0.7079 0.2079  3 O 2.33
Na6 0.4641 0.9641 0.5359  3 O 2.36
Na7 0.5359 0.4641 0.9641  3 O 2.36
Na8 0.7079 0.2079 0.2921  3 O 2.33
Na9 0.7329 0.7671 0.2329  3 O 2.24
Na10 0.7671 0.2329 0.7329  3 O 2.24
Na11 0.7921 0.7921 0.7921  3 O 2.33
Na12 0.9641 0.5359 0.4641  3 O 2.36
Co1 0.9778 0.0222 0.5222  3 O 1.76
Co2 0.5222 0.9778 0.0222  3 O 1.76
Co3 0.4778 0.4778 0.4778  3 O 1.76
Co4 0.0222 0.5222 0.9778  3 O 1.76
O1 0.0010 0.2260 0.4035  1 Co 1.76
O2 0.0965 0.9990 0.7260  1 Co 1.76
O3 0.2260 0.4035 0.0010  1 Co 1.76
O4 0.2740 0.5965 0.5010  1 Co 1.76
O5 0.4035 0.0010 0.2260  1 Co 1.76
O6 0.4990 0.7740 0.9035  1 Co 1.76
O7 0.5010 0.2740 0.5965  1 Co 1.76
O8 0.5965 0.5010 0.2740  1 Co 1.76
O9 0.7260 0.0965 0.9990  1 Co 1.76
O10 0.7740 0.9035 0.4990  1 Co 1.76
O11 0.9035 0.4990 0.7740  1 Co 1.76
O12 0.9990 0.7260 0.0965  1 Co 1.76

=====

Record 7
A plane-wave DFT calculation with SCAN was carried out for a crystal of Na3Co2O4 relaxed with PBEsol.

## Properties
Its electronic total energy is -171.123 eV for the cell shown. Its density of states at the Fermi level is 0.098 states/eV/atom. Its crystal system is orthorhombic.

Cell: 4.9302 4.9302 10.0036 Å, 90.00 90.00 110.77°
Last column: nearest neighbours and their distance in Å.
Sites, in units of the cell vectors:
Na1 0.6467 0.3533 0.0659  6 O 2.44-2.53, 1 Na 2.72
Na2 0.6467 0.3533 0.4341  6 O 2.44-2.53, 1 Na 2.72
Na3 0.3533 0.6467 0.5659  6 O 2.44-2.53, 1 Na 2.72
Na4 0.2976 0.7024 0.2500  4 O 2.28
Na5 0.7024 0.2976 0.7500  4 O 2.28
Na6 0.3533 0.6467 0.9341  6 O 2.44-2.53, 1 Na 2.72
Co1 0.0000 0.0000 0.0000  4 O 1.82
Co2 0.9253 0.0747 0.2500  4 O 1.83
Co3 0.0000 0.0000 0.5000  4 O 1.82
Co4 0.0747 0.9253 0.7500  4 O 1.83
O1 0.1315 0.3059 0.1139  2 Co 1.82-1.83
O2 0.1315 0.3059 0.3861  2 Co 1.82-1.83
O3 0.3059 0.1315 0.8861  2 Co 1.82-1.83
O4 0.3059 0.1315 0.6139  2 Co 1.82-1.83
O5 0.6941 0.8685 0.3861  2 Co 1.82-1.83
O6 0.6941 0.8685 0.1139  2 Co 1.82-1.83
O7 0.8685 0.6941 0.6139  2 Co 1.82-1.83
O8 0.8685 0.6941 0.8861  2 Co 1.82-1.83

=====

Record 8
A plane-wave DFT calculation with SCAN was carried out for a crystal of Na8CoO6 relaxed with PBEsol.

## Properties
Its electronic total energy is -220.036 eV for the cell shown. Its crystal system is hexagonal.

Cell: 6.2741 6.2741 12.6298 Å, 90.00 90.00 120.00°
Last column: nearest neighbours and their distance in Å.
Sites, in units of the cell vectors:
Na1 0.2939 0.0000 0.7294  4 O 2.30-2.44
Na2 0.3894 0.0000 0.3773  4 O 2.27-2.46
Na3 0.6106 0.0000 0.8773  4 O 2.27-2.46
Na4 0.7061 0.0000 0.2294  4 O 2.30-2.44
Na5 0.3333 0.6667 0.0876  4 O 2.35-2.41
Na6 0.3333 0.6667 0.5876  4 O 2.35-2.41
Na7 0.7061 0.7061 0.7294  4 O 2.30-2.44
Na8 0.6106 0.6106 0.3773  4 O 2.27-2.46
Na9 0.3894 0.3894 0.8773  4 O 2.27-2.46
Na10 0.0000 0.7061 0.2294  4 O 2.30-2.44
Na11 0.2939 0.2939 0.2294  4 O 2.30-2.44
Na12 0.0000 0.6106 0.8773  4 O 2.27-2.46
Na13 0.6667 0.3333 0.5876  4 O 2.35-2.41
Na14 0.6667 0.3333 0.0876  4 O 2.35-2.41
Na15 0.0000 0.3894 0.3773  4 O 2.27-2.46
Na16 0.0000 0.2939 0.7294  4 O 2.30-2.44
Co1 0.0000 0.0000 0.5029  4 O 1.81-1.86
Co2 0.0000 0.0000 0.0029  4 O 1.81-1.86
O1 0.2739 0.0000 0.5479  1 Co 1.81
O2 0.7261 0.0000 0.0479  1 Co 1.81
O3 0.3333 0.6667 0.2784  7 Na 2.31-2.41
O4 0.0000 0.0000 0.3557  1 Co 1.86
O5 0.0000 0.0000 0.8557  1 Co 1.86
O6 0.3333 0.6667 0.7784  7 Na 2.31-2.41
O7 0.7261 0.7261 0.5479  1 Co 1.81
O8 0.0000 0.7261 0.0479  1 Co 1.81
O9 0.2739 0.2739 0.0479  1 Co 1.81
O10 0.6667 0.3333 0.7784  7 Na 2.31-2.41
O11 0.6667 0.3333 0.2784  7 Na 2.31-2.41
O12 0.0000 0.2739 0.5479  1 Co 1.81

=====

Q: Look up the electronic total energy of the eighth one.
A: -220.036 eV for the cell shown

=====

Q: Which value of electronic total energy does entry 4 give?
A: -924.699 eV for the cell shown

=====

Q: Among the records above, which one has the highest electronic total energy?
A: Na6CoO4